# MnB2Sb, relaxed, DFT PBE
data_MnB2Sb
_cell_length_a 4.917
_cell_length_b 4.917
_cell_length_c 6.135
_cell_angle_alpha 66.38
_cell_angle_beta 66.38
_cell_angle_gamma 90.00
_space_group_name_H-M_alt 'P 1'
_space_group_IT_number 1
_space_group_name_Hall 'P 1'
loop_
_atom_site_label
_atom_site_type_symbol
_atom_site_fract_x
_atom_site_fract_y
_atom_site_fract_z
Sb1 Sb 0.000 0.000 0.000
B1 B 0.582 0.125 0.250
B2 B 0.875 0.832 0.750
B3 B 0.168 0.625 0.250
Mn1 Mn 0.500 0.500 0.000
Mn2 Mn 0.250 0.750 0.500
B4 B 0.375 0.418 0.750
Sb2 Sb 0.750 0.250 0.500
# uncorrected energy = -23.6 eV/f.u.
# D(E_F) = 0.5 states/eV/cell
# E_form (uncorrected) = 0.76 eV per atom
# symmetry = I-42d